# BaVSbF2

BaVSbF2 after structural relaxation (PBE with a Hubbard U, the Alexandria database).

As for the space-group type: P4/mmm. The energy is -4.327 eV/atom.

Cell lengths 4.814, 5.401, 4.814 Å; angles 90.00, 90.00, 90.00 degrees
Site moments in Bohr magnetons follow the coordinates.
Fractional positions:
F 0.500 0.000 0.000  0.03
F 0.000 0.000 0.500  0.04
V 0.000 0.500 0.000  3.20
Ba 0.500 0.500 0.500  0.21
Sb 0.000 0.000 0.000  -0.07